Below is a relaxed structure of TbNd2Dy2Sc, with properties calculated at the PBE level.

POSCAR file:
```
TbNd2Dy2Sc
1.0
-3.8599 2.0438 3.5220
-3.1615 -6.1300 0.0923
5.4696 -2.7070 7.5653
Tb Nd Dy Sc
2 4 4 2
Direct
0.5000 0.2576 0.6519
0.5000 0.7576 0.3481
0.5000 0.0076 0.0001
0.0000 0.2577 0.1864
0.5000 0.5076 0.9999
0.0000 0.7577 0.8136
0.0000 0.2576 0.8357
0.5000 0.2575 0.3322
0.0000 0.7576 0.1643
0.5000 0.7575 0.6678
0.0000 0.0076 0.5000
0.0000 0.5076 0.5000
```

Calculated formation energy ... 0.09 eV/atom
Crystal system ... orthorhombic
Symmetry ... No. 51